{
  "formula": "Tm2MgGe3Rh4",
  "functional": "PBE",
  "state": "optimized geometry",
  "dft_energy_ev_per_atom": -6.18,
  "crystal_system": "tetragonal",
  "magnetic_moment_mub_per_fu": 0.000,
  "delta_e_f_mev_per_atom": -802,
  "lattice_angstrom": [[4.048, 0.000, 0.000], [0.000, 4.048, 0.000], [0.000, 0.000, 10.919]],
  "species": ["Tm", "Tm", "Mg", "Ge", "Ge", "Ge", "Rh", "Rh", "Rh", "Rh"],
  "frac_coords": [[0.000, 0.500, 0.239], [0.500, 0.000, 0.761], [0.000, 0.000, 0.500], [0.000, 0.500, 0.871], [0.500, 0.000, 0.129], [0.500, 0.500, 0.500], [0.000, 0.000, 0.000], [0.000, 0.500, 0.649], [0.500, 0.000, 0.351], [0.500, 0.500, 0.000]]
}